[1]
## Pa5Ru (GGA-PBE)

Data for Pa5Ru after structural relaxation.

The structure in POSCAR format:
```
Pa5Ru
1.0
2.054 -8.033 0.000
2.054 8.033 0.000
0.000 0.000 4.100
Pa Ru
5 1
Cartesian
0.000 0.000 0.000
2.054 5.392 2.050
2.054 2.744 0.000
2.054 -2.744 0.000
2.054 -5.392 2.050
2.054 0.000 2.050
```

Summary:
Raw total energy: -9.465 eV/atom
DOS(E_F): 10.4 states/eV/cell
ΔH_f (0 K): -5 meV per atom
SG: Cmmm, No. 65

[2]
## Pa3Ru (GGA-PBE)

Data for Pa3Ru after structural relaxation.

The structure in POSCAR format:
```
Pa3Ru
1.0
3.136 0.000 0.000
0.000 3.180 0.000
0.000 0.000 9.205
Pa Ru
3 1
Cartesian
0.000 0.000 0.000
0.000 1.590 2.653
1.568 1.590 6.731
1.568 0.000 4.453
```

Summary:
Raw total energy: -9.381 eV/atom
DOS(E_F): 7.5 states/eV/cell
ΔH_f (0 K): 60 meV per atom
SG: Pmm2, No. 25
Distance to the lowest polymorph of the same formula: 323 meV per atom

[3]
## PaRu4 (GGA-PBE)

Data for PaRu4 after structural relaxation.

The structure in POSCAR format:
```
PaRu4
1.0
4.790 0.000 0.000
0.000 4.790 0.000
0.000 0.000 4.790
Pa Ru
1 4
Cartesian
0.000 0.000 0.000
0.000 0.000 2.395
0.000 2.395 0.000
2.395 0.000 0.000
2.395 2.395 2.395
```

Summary:
Raw total energy: -7.703 eV/atom
DOS(E_F): 6.0 states/eV/cell
ΔH_f (0 K): 1617 meV per atom
SG: Pm-3m, No. 221

[4]
## PaRuS4 (GGA-PBE)

Data for PaRuS4 after structural relaxation.

The structure in POSCAR format:
```
PaRuS4
1.0
6.363 0.000 0.000
0.000 6.226 0.000
-0.995 0.000 6.097
Pa Ru S
2 2 8
Cartesian
0.000 0.000 0.000
-0.497 3.113 3.048
2.684 0.000 3.048
3.181 3.113 0.000
0.784 1.017 2.343
0.286 2.096 5.391
1.819 4.381 1.624
1.321 4.959 4.672
4.047 1.267 1.424
3.549 1.846 4.472
5.082 4.130 0.705
4.584 5.209 3.754
```

Summary:
Raw total energy: -6.724 eV/atom
DOS(E_F): 11.4 states/eV/cell
Formation energy from raw total energies: -0.84 eV/atom
SG: P2_1/c, No. 14

[5]
## PaSbRuS (GGA-PBE)

Data for PaSbRuS after structural relaxation.

The structure in POSCAR format:
```
PaSbRuS
1.0
4.411 0.000 0.000
0.000 4.411 0.000
0.000 0.000 8.341
Pa Sb Ru S
2 2 2 2
Cartesian
1.103 1.103 1.747
3.309 3.309 6.594
1.103 1.103 5.617
3.309 3.309 2.725
1.103 3.309 4.171
3.309 1.103 4.171
1.103 3.309 0.000
3.309 1.103 0.000
```

Summary:
Raw total energy: -7.620 eV/atom
DOS(E_F): 3.5 states/eV/cell
Formation energy from raw total energies: -0.86 eV/atom
SG: P4/nmm, No. 129

[6]
## Pa4RuSe2S (GGA-PBE)

Data for Pa4RuSe2S after structural relaxation.

The structure in POSCAR format:
```
Pa4RuSe2S
1.0
7.000 0.000 0.000
0.000 3.857 0.000
-2.189 0.000 6.825
Pa Ru Se S
4 1 2 1
Cartesian
1.189 0.000 1.530
0.119 1.929 5.262
4.691 1.929 1.563
3.621 0.000 5.295
0.000 1.929 0.000
-1.095 0.000 3.413
2.405 1.929 3.413
3.500 0.000 0.000
```

Summary:
Raw total energy: -8.402 eV/atom
DOS(E_F): 12.4 states/eV/cell
Formation energy from raw total energies: -1.11 eV/atom
SG: P2/m, No. 10

[7]
## PaSbRu (GGA-PBE)

Data for PaSbRu after structural relaxation.

The structure in POSCAR format:
```
PaSbRu
1.0
4.602 0.000 0.000
-2.301 3.985 0.000
0.000 0.000 3.479
Pa Sb Ru
1 1 1
Cartesian
0.000 0.000 0.000
2.301 1.328 1.742
0.000 2.657 1.736
```

Summary:
Raw total energy: -8.121 eV/atom
DOS(E_F): 2.0 states/eV/cell
Formation energy from raw total energies: -0.49 eV/atom
SG: P3m1, No. 156

[8]
## Pa3Sb3Ru2 (GGA-PBE)

Data for Pa3Sb3Ru2 after structural relaxation.

The structure in POSCAR format:
```
Pa3Sb3Ru2
1.0
2.007 -5.732 0.000
2.007 5.732 0.000
0.000 0.000 16.559
Pa Sb Ru
6 6 4
Cartesian
2.007 4.796 9.844
2.007 4.796 14.995
2.007 2.220 12.419
2.007 -2.220 4.140
2.007 -4.796 1.565
2.007 -4.796 6.715
2.007 1.480 9.197
2.007 1.480 15.642
2.007 0.926 4.140
2.007 -0.926 12.419
2.007 -1.480 0.917
2.007 -1.480 7.362
2.007 2.800 2.181
2.007 2.800 6.099
2.007 -2.800 10.460
2.007 -2.800 14.378
```

Summary:
Raw total energy: -7.917 eV/atom
DOS(E_F): 19.6 states/eV/cell
Formation energy from raw total energies: -0.49 eV/atom
SG: Cmcm, No. 63

Number 1: total magnetic moment 0.0 Bohr magnetons per cell. Number 2: total magnetic moment 0.0 Bohr magnetons per cell. Number 3: total magnetic moment 4.8 Bohr magnetons per cell. Number 4: total magnetic moment 1.2 Bohr magnetons per cell. Number 5: total magnetic moment 0.0 Bohr magnetons per cell. Number 6: total magnetic moment 0.0 Bohr magnetons per cell. Number 7: total magnetic moment 0.0 Bohr magnetons per cell. Number 8: total magnetic moment 0.8 Bohr magnetons per cell.